Entry 1:
# NaCaSbAu

A geometry-optimized NaCaSbAu structure (PBE, Alexandria).

```
NaCaSbAu
1.0
0.000 3.687 3.687
3.687 0.000 3.687
3.687 3.687 0.000
Na Ca Sb Au
1 1 1 1
direct
0.000 0.000 0.000 Na
0.500 0.500 0.500 Ca
0.750 0.750 0.750 Sb
0.250 0.250 0.250 Au
```

Values from the calculation:
ΔE_f (raw)	-575.0	meV per atom



Entry 2:
# NaCaSi2Au5

A geometry-optimized NaCaSi2Au5 structure (PBE, Alexandria).

```
NaCaSi2Au5
1.0
4.507 0.000 0.000
0.000 4.507 0.000
0.000 0.000 8.754
Na Ca Si Au
1 1 2 5
direct
0.000 0.000 0.000 Na
0.000 0.000 0.500 Ca
0.500 0.500 0.138 Si
0.500 0.500 0.862 Si
0.000 0.500 0.261 Au
0.000 0.500 0.739 Au
0.500 0.000 0.261 Au
0.500 0.000 0.739 Au
0.500 0.500 0.500 Au
```

Values from the calculation:
ΔE_f (raw)	-367.3	meV per atom



Entry 3:
# NaSr2CaAu

A geometry-optimized NaSr2CaAu structure (PBE, Alexandria).

```
NaSr2CaAu
1.0
6.099 0.000 0.000
0.000 6.099 0.000
0.000 0.000 5.787
Na Sr Ca Au
1 2 1 1
direct
0.000 0.000 0.000 Na
0.000 0.500 0.500 Sr
0.500 0.000 0.500 Sr
0.500 0.500 0.000 Ca
0.000 0.000 0.500 Au
```

Values from the calculation:
ΔE to the lowest computed polymorph	119	meV/atom
DFT formation energy	-204	meV/atom



Entry 4:
# NaSr2CaAu

A geometry-optimized NaSr2CaAu structure (PBE, Alexandria).

```
NaSr2CaAu
1.0
6.149 0.000 0.000
0.000 6.149 0.000
0.000 0.000 5.840
Na Sr Ca Au
1 2 1 1
direct
0.000 0.000 0.000 Na
0.000 0.500 0.500 Sr
0.500 0.000 0.500 Sr
0.500 0.500 0.000 Ca
0.500 0.500 0.500 Au
```

Values from the calculation:
ΔE to the lowest computed polymorph	0	meV/atom
DFT formation energy	-323	meV/atom



Entry 5:
# NaCaTaAu2

A geometry-optimized NaCaTaAu2 structure (PBE, Alexandria).

```
NaCaTaAu2
1.0
5.087 0.000 0.000
0.000 5.087 0.000
0.000 0.000 4.716
Na Ca Ta Au
1 1 1 2
direct
0.000 0.000 0.000 Na
0.000 0.000 0.500 Ca
0.500 0.500 0.000 Ta
0.000 0.500 0.500 Au
0.500 0.000 0.500 Au
```

Values from the calculation:
DFT formation energy	1261	meV/atom



Entry 6:
# Na2CaTaAu

A geometry-optimized Na2CaTaAu structure (PBE, Alexandria).

```
Na2CaTaAu
1.0
5.192 0.000 0.000
0.000 5.192 0.000
0.000 0.000 5.156
Na Ca Ta Au
2 1 1 1
direct
0.000 0.500 0.000 Na
0.500 0.000 0.000 Na
0.000 0.000 0.000 Ca
0.500 0.500 0.500 Ta
0.000 0.000 0.500 Au
```

Values from the calculation:
DFT formation energy	1469	meV/atom



Entry 7:
# NaCaTb2Au4

A geometry-optimized NaCaTb2Au4 structure (PBE, Alexandria).

```
NaCaTb2Au4
1.0
2.531 1.461 8.249
-2.531 1.461 8.249
0.000 -2.923 8.249
Na Ca Tb Au
1 1 2 4
direct
0.000 0.000 0.000 Na
0.500 0.500 0.500 Ca
0.253 0.253 0.253 Tb
0.747 0.747 0.747 Tb
0.127 0.127 0.127 Au
0.377 0.377 0.377 Au
0.623 0.623 0.623 Au
0.873 0.873 0.873 Au
```

Values from the calculation:
DFT formation energy	-707	meV/atom



Entry 8:
# Na2CaTcAu

A geometry-optimized Na2CaTcAu structure (PBE, Alexandria).

```
Na2CaTcAu
1.0
5.687 0.000 0.000
0.000 5.687 0.000
0.000 0.000 4.851
Na Ca Tc Au
2 1 1 1
direct
0.000 0.500 0.000 Na
0.500 0.000 0.000 Na
0.000 0.000 0.000 Ca
0.000 0.000 0.500 Tc
0.500 0.500 0.500 Au
```

Values from the calculation:
DFT formation energy	1311	meV/atom



| no. | calculated volume (Å³ per atom) |
| --- | --- |
| 1 | 25.1 |
| 2 | 19.8 |
| 3 | 43.1 |
| 4 | 44.2 |
| 5 | 24.4 |
| 6 | 27.8 |
| 7 | 22.9 |
| 8 | 31.4 |